Entry 1:
CSe2 | GGA-PBE | relaxed

```
CSe2
1.0
-1.6057 1.6057 5.0367
1.6057 -1.6057 5.0367
1.6057 1.6057 -5.0367
C Se
1 2
Direct
0.0000 0.0000 0.0000
0.3800 0.3800 0.0000
0.6200 0.6200 0.0000
```

## Properties
Uncorrected energy   -10.4 eV for the cell shown
Fermi-level density of states   1.950 states/eV/f.u.
Calculated density   5.4 g cm⁻³
Crystal system   tetragonal



Entry 2:
FeTcNi2 | GGA-PBE | relaxed

```
FeTcNi2
1.0
2.5432 -3.7583 0.0000
2.5432 3.7583 0.0000
0.0000 0.0000 2.5303
Fe Tc Ni
1 1 2
Direct
0.0000 0.0000 0.0000
0.5000 0.5000 0.0000
0.0000 0.5000 0.5000
0.5000 0.0000 0.5000
```

## Properties
Uncorrected energy   -30.2 eV for the cell shown
Fermi-level density of states   4.091 states/eV/f.u.
Calculated density   9.3 g cm⁻³
Crystal system   orthorhombic



Entry 3:
Np2SeS | GGA-PBE | relaxed

```
Np2SeS
1.0
1.9927 1.1505 6.5816
-1.9927 1.1505 6.5816
0.0000 -2.3010 6.5816
Np Se S
2 1 1
Direct
0.2440 0.2440 0.2440
0.7560 0.7560 0.7560
0.0000 0.0000 0.0000
0.5000 0.5000 0.5000
```

## Properties
Uncorrected energy   -38.3 eV for the cell shown
Fermi-level density of states   15.271 states/eV/f.u.
Calculated density   10.7 g cm⁻³
Crystal system   trigonal



Entry 4:
Be2IrPd2 | GGA-PBE | relaxed

```
Be2IrPd2
1.0
6.9168 0.0000 0.0000
0.0000 6.9168 0.0000
0.0000 0.0000 2.6465
Be Ir Pd
4 2 4
Direct
0.1649 0.3351 0.0000
0.3351 0.8351 0.0000
0.6649 0.1649 0.0000
0.8351 0.6649 0.0000
0.0000 0.0000 0.5000
0.5000 0.5000 0.5000
0.1357 0.6357 0.5000
0.3643 0.1357 0.5000
0.6357 0.8643 0.5000
0.8643 0.3643 0.5000
```

## Properties
Uncorrected energy   -54.4 eV for the cell shown
Fermi-level density of states   2.989 states/eV/f.u.
Calculated density   11.1 g cm⁻³
Crystal system   tetragonal



Q: Among the records above, which one has the highest Fermi-level density of states?
A: Np2SeS